The following is a PBE-GGA calculation of crystalline Be2TcIr at its relaxed geometry, from Alexandria.

Its space-group type is Fm-3m (225). As for the volume: 11.15 Å³/atom. The formation enthalpy at 0 K comes out at -242.9 meV per atom. The relative energy among the computed polymorphs comes out at 0.0986 eV per atom. The total energy is -6.913 eV/atom.

Cell: 3.9807 3.9807 3.9807 Å, 60.00 60.00 60.00°
Atoms (fractional coordinates):
Be1 0.2500 0.2500 0.2500
Be2 0.7500 0.7500 0.7500
Ir1 0.5000 0.5000 0.5000
Tc1 0.0000 0.0000 0.0000